This record from Alexandria via LeMat-Bulk describes a PBEsol-optimized structure of LaTb3. The functional is meta-GGA SCAN.

Lattice parameters (Å, degrees): 7.1534 7.1534 5.6825 90.00 90.00 120.00
Sites, in units of the cell vectors:
La: 0.3333 0.6667 0.2500
La: 0.6667 0.3333 0.7500
Tb: 0.1656 0.3311 0.7500
Tb: 0.1656 0.8344 0.7500
Tb: 0.3311 0.1656 0.2500
Tb: 0.6689 0.8344 0.7500
Tb: 0.8344 0.1656 0.2500
Tb: 0.8344 0.6689 0.2500

Calculated values
DOS(E_F)	6.55	states/eV/f.u.
spin magnetization	0.0	μB per formula unit
SG	P6_3/mmc (194)
energy of formation	0.030	eV per atom

This record from Alexandria via LeMat-Bulk describes a PBEsol-optimized structure of TePtSe2. The functional is meta-GGA SCAN.

Lattice parameters (Å, degrees): 4.7537 4.7537 4.7537 108.98 108.98 110.45
Sites, in units of the cell vectors:
Te: 0.0000 0.0000 0.0000
Pt: 0.5000 0.5000 0.0000
Se: 0.0000 0.5000 0.5000
Se: 0.5000 0.0000 0.5000

Calculated values
DOS(E_F)	1.83	states/eV/f.u.
spin magnetization	0.0	μB per formula unit
raw formation energy	0.02	eV per atom
SG	I4/mmm (139)

This record from Alexandria via LeMat-Bulk describes a PBEsol-optimized structure of Nd2Ti3Bi2O12. The functional is meta-GGA SCAN.

Lattice parameters (Å, degrees): 5.4176 16.5992 16.5992 161.39 90.00 90.00
Sites, in units of the cell vectors:
Nd: 0.0026 0.0652 0.9348
Nd: 0.4974 0.5652 0.4348
Nd: 0.5026 0.4348 0.5652
Nd: 0.9974 0.9348 0.0652
Ti: 0.0000 0.4958 0.4958
Ti: 0.0012 0.3672 0.6213
Ti: 0.4988 0.8672 0.1213
Ti: 0.5000 0.9958 0.9958
Ti: 0.5012 0.1213 0.8672
Ti: 0.9988 0.6213 0.3672
Bi: 0.0221 0.2598 0.8382
Bi: 0.4779 0.7598 0.3382
Bi: 0.5221 0.3382 0.7598
Bi: 0.9779 0.8382 0.2598
O: 0.0613 0.6667 0.3061
O: 0.0757 0.4279 0.5422
O: 0.2371 0.1067 0.3491
O: 0.2424 0.8546 0.6380
O: 0.2443 0.0339 0.5320
O: 0.2489 0.2497 0.2257
O: 0.2511 0.7497 0.7257
O: 0.2557 0.5339 0.0320
O: 0.2576 0.3546 0.1380
O: 0.2629 0.6067 0.8491
O: 0.4243 0.9279 0.0422
O: 0.4387 0.1667 0.8061
O: 0.5613 0.8061 0.1667
O: 0.5757 0.0422 0.9279
O: 0.7371 0.8491 0.6067
O: 0.7424 0.1380 0.3546
O: 0.7443 0.0320 0.5339
O: 0.7489 0.7257 0.7497
O: 0.7511 0.2257 0.2497
O: 0.7557 0.5320 0.0339
O: 0.7576 0.6380 0.8546
O: 0.7629 0.3491 0.1067
O: 0.9243 0.5422 0.4279
O: 0.9387 0.3061 0.6667

Calculated values
DOS(E_F)	0.00	states/eV/f.u.
spin magnetization	0.0	μB per formula unit
raw formation energy	-2.95	eV per atom
SG	Aea2 (41)

This record from Alexandria via LeMat-Bulk describes a PBEsol-optimized structure of Tl5In4. The functional is meta-GGA SCAN.

Lattice parameters (Å, degrees): 8.2489 8.2489 8.2489 93.00 93.00 153.57
Sites, in units of the cell vectors:
Tl: 0.0000 0.0000 0.0000
Tl: 0.3331 0.3331 0.6662
Tl: 0.3331 0.6669 0.0000
Tl: 0.6669 0.3331 0.0000
Tl: 0.6669 0.6669 0.3338
In: 0.0000 0.3384 0.3384
In: 0.0000 0.6616 0.6616
In: 0.3384 0.0000 0.3384
In: 0.6616 0.0000 0.6616

Calculated values
DOS(E_F)	4.05	states/eV/f.u.
spin magnetization	0.0	μB per formula unit
E above lowest polymorph	0	meV/atom
SG	I4/mmm (139)
energy of formation	0.052	eV per atom

This record from Alexandria via LeMat-Bulk describes a PBEsol-optimized structure of MgCdHg. The functional is meta-GGA SCAN.

Lattice parameters (Å, degrees): 3.7757 3.7757 5.1302 111.30 111.30 90.41
Sites, in units of the cell vectors:
Mg: 0.0000 0.0000 0.0000
Cd: 0.3313 0.3313 0.6620
Hg: 0.6646 0.6646 0.3288

Calculated values
DOS(E_F)	0.78	states/eV/f.u.
spin magnetization	0.0	μB per formula unit
E above lowest polymorph	0	meV/atom
SG	Cm (8)
energy of formation	-0.193	eV per atom

This record from Alexandria via LeMat-Bulk describes a PBEsol-optimized structure of Y4ZrCo. The functional is meta-GGA SCAN.

Lattice parameters (Å, degrees): 6.0449 6.0449 6.0449 60.00 60.00 60.00
Sites, in units of the cell vectors:
Y: 0.1248 0.1248 0.1248
Y: 0.1248 0.1248 0.6257
Y: 0.1248 0.6257 0.1248
Y: 0.6257 0.1248 0.1248
Zr: 0.7500 0.7500 0.7500
Co: 0.5000 0.5000 0.5000

Calculated values
DOS(E_F)	9.02	states/eV/f.u.
spin magnetization	0.9	μB per formula unit
SG	F-43m (216)
energy of formation	0.840	eV per atom